1.
Density functional theory data (PBE with a Hubbard U) for a relaxed ZnNi4O8 crystal.

Calculated values
* Fermi-level density of states: 4.45 states/eV/cell
* crystal system: monoclinic

Cell lengths 6.8611, 6.8611, 9.0614 Å; angles 51.24, 51.24, 24.52 degrees
Last column: nearest neighbours and their distance in Å.
Element x y z (fractional)
Ni: 0.8422 0.8422 0.8390  6 O 1.86-1.92
Ni: 0.3512 0.3512 0.4943  6 O 1.88-2.05
Ni: 0.1410 0.1410 0.2029  4 O 1.92-2.00
Ni: 0.6333 0.6333 0.5649  6 O 1.88-1.96
O: 0.7915 0.7915 0.0906  3 Ni 1.92-2.15, 2 Zn 2.04
O: 0.8726 0.8726 0.6081  3 Ni 1.86-1.91
O: 0.4549 0.4549 0.7778  3 Ni 1.88-1.91
O: 0.5260 0.5260 0.2700  3 Ni 1.88-1.92
O: 0.1620 0.1620 0.6736  3 Ni 1.93-1.95
O: 0.8224 0.8224 0.3650  3 Ni 1.96-2.05, 2 Zn 2.07
O: 0.1260 0.1260 0.4368  3 Ni 1.90-2.00
O: 0.2235 0.2235 0.9273  3 Ni 1.91-1.98
Zn: 0.3482 0.3482 0.1805  4 O 2.04-2.07

2.
Density functional theory data (PBE with a Hubbard U) for a relaxed ZnNi4O8 crystal.

Calculated values
* Fermi-level density of states: 0.28 states/eV/cell
* crystal system: trigonal

Cell lengths 5.7063, 5.7063, 5.9910 Å; angles 61.56, 61.56, 60.00 degrees
Last column: nearest neighbours and their distance in Å.
Element x y z (fractional)
O: 0.7300 0.7300 0.8100  3 Ni 1.90
O: 0.7084 0.2468 0.7981  3 Ni 1.88-2.04
O: 0.7532 0.2916 0.2019  3 Ni 1.88-2.04
O: 0.2468 0.2468 0.7981  3 Ni 1.88-2.04
O: 0.2468 0.7084 0.7981  3 Ni 1.88-2.04
O: 0.2916 0.7532 0.2019  3 Ni 1.88-2.04
O: 0.2700 0.2700 0.1900  3 Ni 1.90
O: 0.7532 0.7532 0.2019  3 Ni 1.88-2.04
Ni: 0.5000 0.5000 0.0000  6 O 1.88-1.90
Ni: 0.5000 0.0000 0.0000  6 O 1.88-1.90
Ni: 0.0000 0.5000 0.0000  6 O 1.88-1.90
Ni: 0.0000 0.0000 0.0000  6 O 2.04
Zn: 0.5000 0.5000 0.5000  6 O 2.13

3.
Density functional theory data (PBE with a Hubbard U) for a relaxed Zn2Ni3O5 crystal.

Calculated values
* Fermi-level density of states: 0.00 states/eV/cell
* crystal system: monoclinic

Cell lengths 5.2269, 5.2269, 6.7443 Å; angles 49.90, 49.90, 48.11 degrees
Last column: nearest neighbours and their distance in Å.
Element x y z (fractional)
Zn: 0.5993 0.5993 0.2012  6 O 2.13-2.18
Zn: 0.4007 0.4007 0.7988  6 O 2.13-2.18
O: 0.0957 0.0957 0.2066  3 Ni 2.11-2.14, 3 Zn 2.13-2.18
O: 0.5000 0.5000 0.0000  4 Ni 2.13-2.14, 2 Zn 2.13
O: 0.2938 0.2938 0.6050  4 Ni 2.10-2.13, 2 Zn 2.15-2.17
O: 0.9043 0.9043 0.7934  3 Ni 2.11-2.14, 3 Zn 2.13-2.18
O: 0.7062 0.7062 0.3950  4 Ni 2.10-2.13, 2 Zn 2.15-2.17
Ni: 0.2009 0.2009 0.3993  6 O 2.11-2.14
Ni: 0.0000 0.0000 0.0000  6 O 2.10-2.14
Ni: 0.7991 0.7991 0.6007  6 O 2.11-2.14

Record order is preserved below.
Total DFT energy (no corrections): -4.51; -4.63; -4.65 eV per atom
Record order is preserved below.
Total moment: 0.154; 0.154; 0.600 μB per atom